Ac2Cd2Hg3 | PBE | relaxed

ΔE to the lowest computed polymorph: 0.009 eV per atom
SG: C2/m
Total DFT energy (no corrections): -1.9074 eV per atom
Formation energy from the elements: -0.343 eV per atom

```
Ac2Cd2Hg3
1.0
4.879 0.000 0.000
-2.439 5.880 0.112
0.000 -2.987 6.965
Ac Hg Cd
2 3 2
direct
0.855 0.710 0.234
0.145 0.290 0.766
0.605 0.210 0.432
0.500 0.000 0.000
0.395 0.790 0.568
0.850 0.700 0.768
0.150 0.300 0.232
```

***

ReS3Br | PBE | relaxed

ΔE to the lowest computed polymorph: 1.593 eV per atom
SG: Pm-3m
Uncorrected formation energy: 1.9262 eV per atom
Total DFT energy (no corrections): -3.3745 eV per atom

```
ReS3Br
1.0
4.817 0.000 0.000
0.000 4.817 0.000
0.000 0.000 4.817
Br S Re
1 3 1
direct
0.000 0.000 0.000
0.000 0.500 0.000
0.500 0.000 0.000
0.000 0.000 0.500
0.500 0.500 0.500
```

***

Na2TbEr3Se6 | PBE | relaxed

SG: C2/m
Uncorrected formation energy: -1.7058 eV per atom
Total DFT energy (no corrections): -5.1945 eV per atom

```
Na2TbEr3Se6
1.0
7.064 0.003 0.002
-3.528 6.120 0.002
-1.178 -2.039 6.759
Se Er Na Tb
6 3 2 1
direct
0.416 0.086 0.257
0.086 0.416 0.257
0.584 0.914 0.743
0.757 0.757 0.260
0.914 0.584 0.743
0.243 0.243 0.740
0.169 0.831 0.500
0.500 0.500 0.500
0.831 0.169 0.500
0.334 0.666 0.000
0.666 0.334 0.000
0.000 0.000 0.000
```

***

KI2Br2 | PBE | relaxed

ΔE to the lowest computed polymorph: 0.168 eV per atom
SG: P-3m1
Uncorrected formation energy: -0.4626 eV per atom
Total DFT energy (no corrections): -1.9713 eV per atom

```
KI2Br2
1.0
4.796 0.000 0.000
-2.398 4.153 0.000
0.000 0.000 11.513
K Br I
1 2 2
direct
0.000 0.000 0.000
0.667 0.333 0.850
0.333 0.667 0.150
0.667 0.333 0.604
0.333 0.667 0.396
```

***

ThFeSi2Ni | PBE | relaxed

SG: I-4m2
Uncorrected formation energy: -0.7444 eV per atom
Total DFT energy (no corrections): -7.2463 eV per atom

```
ThFeSi2Ni
1.0
4.055 0.000 0.000
0.000 4.055 0.000
-2.027 -2.027 4.848
Si Ni Fe Th
2 1 1 1
direct
0.631 0.631 0.263
0.369 0.369 0.737
0.250 0.750 0.500
0.750 0.250 0.500
0.000 0.000 0.000
```

***

RbNaZrCl6 | PBE | relaxed

SG: P-31c
Uncorrected formation energy: -1.8854 eV per atom
Total DFT energy (no corrections): -4.3204 eV per atom

```
RbNaZrCl6
1.0
7.084 0.000 0.000
-3.542 6.135 0.000
0.000 0.000 14.061
Rb Cl Zr Na
2 12 2 2
direct
0.000 0.000 0.000
0.000 0.000 0.500
0.391 0.036 0.147
0.036 0.645 0.853
0.645 0.609 0.147
0.645 0.036 0.353
0.609 0.645 0.647
0.964 0.355 0.147
0.355 0.964 0.647
0.964 0.609 0.353
0.036 0.391 0.647
0.391 0.355 0.353
0.355 0.391 0.853
0.609 0.964 0.853
0.333 0.667 0.750
0.667 0.333 0.250
0.667 0.333 0.750
0.333 0.667 0.250
```

***

Al12Zn6Tc | PBE | relaxed

SG: R-3
Total DFT energy (no corrections): -3.2920 eV per atom
Formation energy from the elements: 0.020 eV per atom

```
Al12Zn6Tc
1.0
6.898 0.142 0.170
-0.906 6.840 0.170
-0.906 -1.055 6.760
Zn Al Tc
6 12 1
direct
0.239 0.146 0.755
0.755 0.239 0.146
0.245 0.761 0.854
0.761 0.854 0.245
0.146 0.755 0.239
0.854 0.245 0.761
0.861 0.621 0.929
0.071 0.139 0.379
0.477 0.502 0.802
0.802 0.477 0.502
0.929 0.861 0.621
0.523 0.498 0.198
0.139 0.379 0.071
0.502 0.802 0.477
0.379 0.071 0.139
0.621 0.929 0.861
0.498 0.198 0.523
0.198 0.523 0.498
0.000 0.000 0.000
```

***

SrLaFe2 | PBE | relaxed

SG: P4/mmm
Total DFT energy (no corrections): -5.2767 eV per atom
Formation energy from the elements: 0.607 eV per atom

```
SrLaFe2
1.0
-0.368 -3.569 -0.122
4.699 -0.556 2.108
-2.114 0.057 4.729
Sr Fe La
1 2 1
direct
0.500 0.000 0.500
0.000 0.000 0.000
0.000 0.500 0.500
0.500 0.500 0.000
```